one) The following is a DFT calculation (PBE) of a relaxed structure of RbLi3Ti.

abc: 5.6891 5.6891 5.6891
angles: 90.00 90.00 90.00
Positions (direct):
Rb 0.5000 0.5000 0.5000
Ti 0.0000 0.0000 0.0000
Li 0.0000 0.0000 0.5000
Li 0.0000 0.5000 0.0000
Li 0.5000 0.0000 0.0000

Values from the calculation:
Its space-group type is Pm-3m, No. 221. The calculation puts the density of states at the Fermi level at 8.78 states/eV per cell.

two) The following is a DFT calculation (PBE) of a relaxed structure of RbLi3Ti.

abc: 5.1829 5.1829 5.1829
angles: 90.00 90.00 90.00
Positions (direct):
Ti 0.5000 0.5000 0.5000
Li 0.5000 0.0000 0.0000
Li 0.0000 0.5000 0.0000
Li 0.0000 0.0000 0.5000
Rb 0.0000 0.0000 0.0000

Values from the calculation:
Its space-group type is Pm-3m, No. 221. The calculation puts the density of states at the Fermi level at 5.29 states/eV per cell.

Tell me which of them is the least stable. Sure, it is two).

one) The following is a DFT calculation (PBE) of a relaxed structure of RbLi2Ti.

abc: 8.5372 8.5372 7.0035
angles: 52.45 52.45 90.00
Positions (direct):
Rb 0.0000 0.0000 0.0000
Rb 0.7500 0.2500 0.5000
Li 0.1649 0.6250 0.2500
Li 0.8750 0.8351 0.7500
Li 0.3750 0.4149 0.7500
Li 0.5851 0.1250 0.2500
Ti 0.5000 0.5000 0.0000
Ti 0.2500 0.7500 0.5000

Values from the calculation:
Its space-group type is I-42d, No. 122. The calculation puts the density of states at the Fermi level at 7.43 states/eV per cell.

two) The following is a DFT calculation (PBE) of a relaxed structure of RbLi2Ti.

abc: 5.6434 5.6434 5.6434
angles: 60.00 60.00 60.00
Positions (direct):
Li 0.2500 0.2500 0.2500
Li 0.7500 0.7500 0.7500
Ti 0.0000 0.0000 0.0000
Rb 0.5000 0.5000 0.5000

Values from the calculation:
Its space-group type is Fm-3m, No. 225. The calculation puts the density of states at the Fermi level at 3.65 states/eV per cell.

Tell me which of them is the least stable. Sure, it is one).

one) The following is a DFT calculation (PBE) of a relaxed structure of RbLiTl4.

abc: 5.6111 7.4654 10.4013
angles: 111.03 105.57 90.00
Positions (direct):
Li 0.7361 0.5006 0.0013
Li 0.2639 0.4994 0.9987
Rb 0.2111 0.2119 0.4239
Rb 0.7889 0.7881 0.5761
Tl 0.0000 0.8053 0.0000
Tl 0.8534 0.3555 0.7110
Tl 0.3998 0.6701 0.7996
Tl 0.0000 0.1947 0.0000
Tl 0.1466 0.6445 0.2890
Tl 0.6002 0.8705 0.2004
Tl 0.6002 0.3299 0.2004
Tl 0.3998 0.1295 0.7996

Values from the calculation:
Its space-group type is C2/m, No. 12. The calculation puts the density of states at the Fermi level at 7.46 states/eV per cell.

two) The following is a DFT calculation (PBE) of a relaxed structure of RbLiTl4.

abc: 6.6158 6.6158 6.6158
angles: 60.00 60.00 60.00
Positions (direct):
Rb 0.2500 0.2500 0.2500
Tl 0.6259 0.1223 0.6259
Tl 0.6259 0.6259 0.1223
Tl 0.1223 0.6259 0.6259
Tl 0.6259 0.6259 0.6259
Li 0.0000 0.0000 0.0000

Values from the calculation:
Its space-group type is F-43m, No. 216. The calculation puts the density of states at the Fermi level at 4.48 states/eV per cell.

three) The following is a DFT calculation (PBE) of a relaxed structure of RbLiTl4.

abc: 3.7955 3.7952 12.8037
angles: 89.99 89.99 90.00
Positions (direct):
Li 0.0000 0.5000 0.5000
Tl 0.9997 0.4997 0.2184
Tl 0.5003 0.0003 0.6280
Tl 0.4997 0.9997 0.3720
Tl 0.0003 0.5003 0.7816
Rb 0.5000 0.0000 0.0000

Values from the calculation:
Its space-group type is P4/mmm, No. 123. The calculation puts the density of states at the Fermi level at 2.85 states/eV per cell.

Tell me which of them is the least stable. Sure, it is two).

one) The following is a DFT calculation (PBE) of a relaxed structure of Rb2LiTl2.

abc: 10.8530 10.8530 3.7445
angles: 90.00 90.00 90.00
Positions (direct):
Rb 0.3154 0.8154 0.0000
Rb 0.6846 0.1846 0.0000
Rb 0.1846 0.3154 0.0000
Rb 0.8154 0.6846 0.0000
Tl 0.1079 0.6079 0.5000
Tl 0.3921 0.1079 0.5000
Tl 0.6079 0.8921 0.5000
Tl 0.8921 0.3921 0.5000
Li 0.0000 0.0000 0.0000
Li 0.5000 0.5000 0.0000

Values from the calculation:
Its space-group type is P4/mbm, No. 127. The calculation puts the density of states at the Fermi level at 12.32 states/eV per cell.

two) The following is a DFT calculation (PBE) of a relaxed structure of Rb2LiTl2.

abc: 7.9551 7.9551 6.3819
angles: 90.00 90.00 90.00
Positions (direct):
Rb 0.6806 0.8194 0.5000
Rb 0.3194 0.1806 0.5000
Rb 0.1806 0.6806 0.5000
Rb 0.8194 0.3194 0.5000
Tl 0.6363 0.1363 0.0000
Tl 0.3637 0.8637 0.0000
Tl 0.8637 0.6363 0.0000
Tl 0.1363 0.3637 0.0000
Li 0.0000 0.0000 0.0000
Li 0.5000 0.5000 0.0000

Values from the calculation:
Its space-group type is P4/mbm, No. 127. The calculation puts the density of states at the Fermi level at 6.34 states/eV per cell.

three) The following is a DFT calculation (PBE) of a relaxed structure of Rb2LiTl2.

abc: 5.0527 5.0527 11.4812
angles: 77.29 77.29 60.00
Positions (direct):
Tl 0.6854 0.6854 0.9439
Tl 0.3146 0.3146 0.0561
Rb 0.4299 0.4299 0.7104
Rb 0.5701 0.5701 0.2896
Li 0.0000 0.0000 0.0000

Values from the calculation:
Its space-group type is R-3m, No. 166. The calculation puts the density of states at the Fermi level at 3.65 states/eV per cell.

Tell me which of them is the least stable. Sure, it is one).

one) The following is a DFT calculation (PBE) of a relaxed structure of RbLi3Tl.

abc: 5.7830 5.7830 5.7830
angles: 90.00 90.00 90.00
Positions (direct):
Li 0.0000 0.5000 0.0000
Li 0.0000 0.0000 0.5000
Li 0.5000 0.0000 0.0000
Tl 0.5000 0.5000 0.5000
Rb 0.0000 0.0000 0.0000

Values from the calculation:
Its space-group type is Pm-3m, No. 221. The calculation puts the density of states at the Fermi level at 3.10 states/eV per cell.

two) The following is a DFT calculation (PBE) of a relaxed structure of RbLi3Tl.

abc: 5.4953 5.4953 5.4953
angles: 90.00 90.00 90.00
Positions (direct):
Rb 0.5000 0.5000 0.5000
Tl 0.0000 0.0000 0.0000
Li 0.5000 0.0000 0.0000
Li 0.0000 0.0000 0.5000
Li 0.0000 0.5000 0.0000

Values from the calculation:
Its space-group type is Pm-3m, No. 221. The calculation puts the density of states at the Fermi level at 4.92 states/eV per cell.

Tell me which of them is the least stable. Sure, it is one).

one) The following is a DFT calculation (PBE) of a relaxed structure of RbLiV3.

abc: 4.5524 4.5524 4.5524
angles: 90.00 90.00 90.00
Positions (direct):
V 0.0000 0.5000 0.0000
V 0.0000 0.0000 0.5000
V 0.5000 0.0000 0.0000
Rb 0.0000 0.0000 0.0000
Li 0.5000 0.5000 0.5000

Values from the calculation:
Its space-group type is Pm-3m, No. 221. The calculation puts the density of states at the Fermi level at 9.98 states/eV per cell.

two) The following is a DFT calculation (PBE) of a relaxed structure of RbLiV3.

abc: 5.0484 5.0484 5.0484
angles: 90.00 90.00 90.00
Positions (direct):
V 0.5000 0.0000 0.0000
V 0.0000 0.0000 0.5000
V 0.0000 0.5000 0.0000
Li 0.0000 0.0000 0.0000
Rb 0.5000 0.5000 0.5000

Values from the calculation:
Its space-group type is Pm-3m, No. 221. The calculation puts the density of states at the Fermi level at 10.98 states/eV per cell.

Tell me which of them is the least stable. Sure, it is one).

one) The following is a DFT calculation (PBE) of a relaxed structure of Rb2LiV.

abc: 6.3724 6.3724 6.3724
angles: 60.00 60.00 60.00
Positions (direct):
Rb 0.7500 0.7500 0.7500
Rb 0.2500 0.2500 0.2500
Li 0.0000 0.0000 0.0000
V 0.5000 0.5000 0.5000

Values from the calculation:
Its space-group type is Fm-3m, No. 225. The calculation puts the density of states at the Fermi level at 12.42 states/eV per cell.

two) The following is a DFT calculation (PBE) of a relaxed structure of Rb2LiV.

abc: 10.0722 10.0722 7.9574
angles: 50.74 50.74 90.00
Positions (direct):
Rb 0.1296 0.6250 0.2500
Rb 0.8750 0.8704 0.7500
Rb 0.6204 0.1250 0.2500
Rb 0.3750 0.3796 0.7500
V 0.7500 0.2500 0.5000
V 0.0000 0.0000 0.0000
Li 0.2500 0.7500 0.5000
Li 0.5000 0.5000 0.0000

Values from the calculation:
Its space-group type is I-42d, No. 122. The calculation puts the density of states at the Fermi level at 18.56 states/eV per cell.

Tell me which of them is the least stable. Sure, it is two).

one) The following is a DFT calculation (PBE) of a relaxed structure of RbLiV2.

abc: 3.9696 3.9696 11.9282
angles: 80.42 80.42 90.00
Positions (direct):
V 0.3750 0.5123 0.7500
V 0.2623 0.6250 0.2500
V 0.4877 0.1250 0.2500
V 0.8750 0.7377 0.7500
Rb 0.7500 0.2500 0.5000
Rb 0.0000 0.0000 0.0000
Li 0.2500 0.7500 0.5000
Li 0.5000 0.5000 0.0000

Values from the calculation:
Its space-group type is I-42d, No. 122. The calculation puts the density of states at the Fermi level at 7.58 states/eV per cell.

two) The following is a DFT calculation (PBE) of a relaxed structure of RbLiV2.

abc: 5.3624 5.3624 5.3624
angles: 60.00 60.00 60.00
Positions (direct):
V 0.7500 0.7500 0.7500
V 0.2500 0.2500 0.2500
Li 0.0000 0.0000 0.0000
Rb 0.5000 0.5000 0.5000

Values from the calculation:
Its space-group type is Fm-3m, No. 225. The calculation puts the density of states at the Fermi level at 10.60 states/eV per cell.

Tell me which of them is the least stable. Sure, it is two).